VASP calculation (meta-GGA SCAN) on a PBEsol-optimized structure of Cu3Rh.

Cell and atoms, written as extended XYZ:
```
16
Lattice="-4.211 0.081 -1.510 1.427 -2.631 -4.120 -1.589 -7.196 4.046" Properties=species:S:1:pos:R:3 pbc="T T T"
Cu -3.437 -5.693 1.625
Cu -0.160 -1.648 -2.934
Cu -0.943 -5.197 -0.939
Cu -1.683 -3.930 1.143
Cu -2.466 -7.479 3.138
Cu -3.383 -3.383 -2.979
Cu -0.990 -6.363 1.395
Cu -1.908 -2.268 -4.722
Cu -2.691 -5.816 -2.727
Cu -3.431 -4.550 -0.645
Cu -4.214 -8.098 1.350
Cu -0.936 -4.053 -3.209
Rh -1.667 -2.739 -1.158
Rh -0.258 -7.681 -0.661
Rh -4.116 -2.066 -0.923
Rh -2.706 -7.008 -0.425
```

V in Å³/f.u.: 47.9
ΔE_f in eV/f.u.: 0.051

VASP calculation (meta-GGA SCAN) on a PBEsol-optimized structure of CuRh4.

Cell and atoms, written as extended XYZ:
```
5
Lattice="3.739 0.000 0.000 1.870 4.191 0.000 1.870 0.000 4.191" Properties=species:S:1:pos:R:3 pbc="T T T"
Cu 0.000 0.000 0.000
Rh 5.609 2.503 3.358
Rh 1.870 1.687 0.833
Rh 3.739 0.833 2.503
Rh 3.739 3.358 1.687
```

V in Å³/f.u.: 65.7
ΔE_f in eV/f.u.: 0.174

VASP calculation (meta-GGA SCAN) on a PBEsol-optimized structure of Cu3Rh.

Cell and atoms, written as extended XYZ:
```
4
Lattice="-0.416 1.515 -1.985 -1.658 -1.877 0.368 -4.700 5.108 4.883" Properties=species:S:1:pos:R:3 pbc="T T T"
Rh -3.387 2.373 1.633
Cu -1.136 1.234 1.180
Cu -3.564 3.874 3.703
Cu -1.037 -0.181 -0.809
```

V in Å³/f.u.: 48.6
ΔE_f in eV/f.u.: 0.426

VASP calculation (meta-GGA SCAN) on a PBEsol-optimized structure of Cu3Rh4.

Cell and atoms, written as extended XYZ:
```
7
Lattice="2.664 0.000 0.000 0.000 2.664 0.000 -1.332 -1.332 12.521" Properties=species:S:1:pos:R:3 pbc="T T T"
Cu 0.000 0.000 0.000
Cu 1.332 1.332 5.451
Cu 0.000 0.000 7.070
Rh 1.332 1.332 8.879
Rh 1.332 1.332 1.827
Rh 0.000 0.000 10.694
Rh 0.000 0.000 3.641
```

V in Å³/f.u.: 88.9
ΔE_f in eV/f.u.: 0.381

VASP calculation (meta-GGA SCAN) on a PBEsol-optimized structure of Cu5Rh4.

Cell and atoms, written as extended XYZ:
```
9
Lattice="-0.881 -2.184 2.931 -0.545 -5.447 -1.811 4.857 -1.941 2.425" Properties=species:S:1:pos:R:3 pbc="T T T"
Cu 0.000 0.000 0.000
Cu -0.952 -5.112 0.728
Cu 1.295 -1.370 1.780
Cu 2.681 -2.755 3.576
Cu -0.475 -2.519 0.392
Rh 0.840 -3.908 2.163
Rh 2.591 -5.663 1.382
Rh 3.067 -3.103 1.022
Rh 1.245 -4.285 -0.407
```

V in Å³/f.u.: 111.7
ΔE_f in eV/f.u.: 0.652

VASP calculation (meta-GGA SCAN) on a PBEsol-optimized structure of Cu2Rh.

Cell and atoms, written as extended XYZ:
```
3
Lattice="2.599 0.000 0.000 -1.300 2.251 0.000 0.000 0.000 6.261" Properties=species:S:1:pos:R:3 pbc="T T T"
Rh 0.000 0.000 0.000
Cu 1.300 0.750 2.132
Cu 0.000 1.501 4.129
```

V in Å³/f.u.: 36.6
ΔE_f in eV/f.u.: 0.112
ΔE to the lowest computed polymorph in meV/atom: 0

VASP calculation (meta-GGA SCAN) on a PBEsol-optimized structure of Cu3Rh.

Cell and atoms, written as extended XYZ:
```
4
Lattice="2.588 0.000 -0.001 0.001 4.420 -0.010 -1.295 -2.220 4.202" Properties=species:S:1:pos:R:3 pbc="T T T"
Rh 1.295 3.714 -0.009
Cu -0.001 -0.029 2.119
Cu 1.293 -0.730 4.197
Cu 1.293 2.183 2.073
```

V in Å³/f.u.: 48.0
ΔE_f in eV/f.u.: 0.172

VASP calculation (meta-GGA SCAN) on a PBEsol-optimized structure of Cu2Rh.

Cell and atoms, written as extended XYZ:
```
6
Lattice="-1.197 2.250 3.402 -4.016 -1.802 -0.221 3.182 -2.003 2.445" Properties=species:S:1:pos:R:3 pbc="T T T"
Cu 0.532 0.054 4.136
Cu -2.562 -1.608 1.490
Cu -1.859 0.101 3.263
Cu -0.171 -1.656 2.363
Rh -4.255 0.181 2.367
Rh -0.958 0.267 0.814
```

V in Å³/f.u.: 36.6
ΔE_f in eV/f.u.: 0.230
ΔE to the lowest computed polymorph in meV/atom: 39

VASP calculation (meta-GGA SCAN) on a PBEsol-optimized structure of Cu2Rh.

Cell and atoms, written as extended XYZ:
```
6
Lattice="2.603 0.000 0.000 -1.301 4.777 -0.015 0.000 -1.695 5.887" Properties=species:S:1:pos:R:3 pbc="T T T"
Cu 1.301 3.330 4.150
Cu 0.000 1.800 5.712
Cu 1.301 1.282 0.160
Cu 0.000 -0.248 1.722
Rh 0.000 2.329 2.140
Rh 1.301 0.753 3.732
```

V in Å³/f.u.: 36.6
ΔE_f in eV/f.u.: 0.179
ΔE to the lowest computed polymorph in meV/atom: 22

VASP calculation (meta-GGA SCAN) on a PBEsol-optimized structure of Cu2Rh.

Cell and atoms, written as extended XYZ:
```
3
Lattice="-0.550 -1.391 -2.109 0.460 -3.043 1.886 -3.750 2.245 1.083" Properties=species:S:1:pos:R:3 pbc="T T T"
Rh -0.045 -2.217 -0.111
Cu -2.557 -2.198 0.531
Cu -1.284 0.010 0.328
```

V in Å³/f.u.: 36.6
ΔE_f in eV/f.u.: 0.265
ΔE to the lowest computed polymorph in meV/atom: 51

VASP calculation (meta-GGA SCAN) on a PBEsol-optimized structure of Cu2Rh.

Cell and atoms, written as extended XYZ:
```
12
Lattice="-3.627 -0.380 -0.499 0.341 -4.960 1.298 -1.211 1.852 7.393" Properties=species:S:1:pos:R:3 pbc="T T T"
Cu -3.325 -3.281 6.299
Cu -2.926 -3.857 3.836
Cu -1.803 -1.497 7.456
Cu -0.997 -2.696 2.506
Cu -3.501 -0.792 5.686
Cu -2.695 -1.991 0.737
Cu -1.572 0.370 4.357
Cu -1.173 -0.207 1.893
Rh -2.526 -4.459 1.389
Rh -1.402 -2.119 5.014
Rh -3.096 -1.368 3.178
Rh -1.972 0.972 6.804
```

V in Å³/f.u.: 36.5
ΔE_f in eV/f.u.: 0.227
ΔE to the lowest computed polymorph in meV/atom: 38

VASP calculation (meta-GGA SCAN) on a PBEsol-optimized structure of Cu2Rh.

Cell and atoms, written as extended XYZ:
```
12
Lattice="-0.997 2.563 2.392 -1.571 -2.550 2.077 10.719 -1.399 3.189" Properties=species:S:1:pos:R:3 pbc="T T T"
Cu 3.416 -0.688 4.937
Cu 4.735 -0.699 2.722
Cu 8.919 -0.109 6.610
Cu -0.481 1.279 1.206
Cu 0.261 -0.222 3.123
Cu 7.891 -1.165 4.536
Cu 5.764 0.357 4.796
Cu 2.674 0.813 3.020
Rh 6.596 -1.157 6.765
Rh 1.555 -0.230 0.894
Rh 2.377 -1.742 2.857
Rh 5.488 -2.201 4.645
```

V in Å³/f.u.: 36.4
ΔE_f in eV/f.u.: 0.208
ΔE to the lowest computed polymorph in meV/atom: 32